Os4N | PBE | relaxed

Crystal system = cubic
Energy = -9.87 eV/atom
Spin magnetization = 0.00 μB/f.u.

a b c (Å): 4.0308 4.0308 4.0308
angles (deg): 90.00 90.00 90.00
Last column: nearest neighbours and their distance in Å.
Space group Pm-3m (No. 221)
Inequivalent atoms, fractional coordinates:
Os (0.0000, 0.0000, 0.0000) [1 per cell]  12 Os 2.85
Os (0.0000, 0.5000, 0.5000) [3 per cell]  2 N 2.02
N (0.5000, 0.5000, 0.5000) [1 per cell]  6 Os 2.02

***

FeCu2Rh6 | PBE | relaxed

Crystal system = monoclinic
ΔE_f = 138.8 meV/atom
Spin magnetization = 3.69 μB/f.u.

a b c (Å): 4.6331 13.5041 4.5522
angles (deg): 90.00 119.05 90.00
Last column: nearest neighbours and their distance in Å.
Space group C2/m (No. 12)
Inequivalent atoms, fractional coordinates:
Fe (0.0000, 0.0000, 0.0000) [2 per cell]  10 Rh 2.59-2.74
Cu (0.0000, 0.1684, 0.5000) [4 per cell]  10 Rh 2.62-2.72
Rh (0.1721, 0.3354, 0.8330) [8 per cell]  1 Fe 2.59, 4 Cu 2.62-2.72, 5 Rh 2.63-2.69
Rh (0.1773, 0.5000, 0.3367) [4 per cell]  3 Fe 2.61-2.74, 5 Rh 2.61-2.70, 2 Cu 2.62

***

ThZrNi2 | PBE | relaxed

Crystal system = trigonal
Offset from the most stable computed form = 53 meV per atom
ΔE_f = -346.1 meV/atom
Spin magnetization = 0.00 μB/f.u.

a b c (Å): 4.4604 4.4604 13.9428
angles (deg): 90.00 90.00 120.00
Last column: nearest neighbours and their distance in Å.
Space group R-3m (No. 166, hexagonal axes)
Inequivalent atoms, fractional coordinates:
Th (0.0000, 0.0000, 0.0000) [3 per cell]  8 Ni 2.89-3.12
Zr (0.0000, 0.0000, 0.5000) [3 per cell]  6 Ni 2.64
Ni (0.0000, 0.0000, 0.2076) [6 per cell]  3 Zr 2.64, 3 Ni 2.82, 1 Th 2.89

***

Cs2SnAuBr | PBE | relaxed

Crystal system = tetragonal
Energy = -2.40 eV/atom
Spin magnetization = 2.00 μB/f.u.

a b c (Å): 6.9906 6.9906 5.8093
angles (deg): 90.00 90.00 90.00
Last column: nearest neighbours and their distance in Å.
Space group P4/mmm (No. 123)
Inequivalent atoms, fractional coordinates:
Cs (0.0000, 0.5000, 0.0000) [2 per cell]  2 Br 3.50
Sn (0.0000, 0.0000, 0.5000) [1 per cell]  2 Br 2.90
Au (0.5000, 0.5000, 0.5000) [1 per cell]  8 Cs 4.54, 4 Sn 4.94
Br (0.0000, 0.0000, 0.0000) [1 per cell]  2 Sn 2.90

***

Al6Ni12P | PBE | relaxed

Crystal system = trigonal
ΔE_f = -372.2 meV/atom
Spin magnetization = 0.00 μB/f.u.

a b c (Å): 8.7864 8.7864 10.2581
angles (deg): 90.00 90.00 120.00
Last column: nearest neighbours and their distance in Å.
Space group R-3 (No. 148, hexagonal axes)
Inequivalent atoms, fractional coordinates:
Al (0.0084, 0.4131, 0.2118) [18 per cell]  8 Ni 2.38-2.66, 1 P 2.64
Ni (0.0319, 0.1801, 0.3277) [18 per cell]  1 P 2.29, 3 Al 2.46-2.55, 4 Ni 2.49-2.55
Ni (0.0472, 0.8488, 0.9073) [18 per cell]  4 Al 2.38-2.48, 3 Ni 2.47-2.49
P (0.0000, 0.0000, 0.5000) [3 per cell]  6 Ni 2.29

***

LiV3Br | PBE | relaxed

Crystal system = cubic
Energy = -5.09 eV/atom
Spin magnetization = 3.88 μB/f.u.

a b c (Å): 4.5551 4.5551 4.5551
angles (deg): 90.00 90.00 90.00
Last column: nearest neighbours and their distance in Å.
Space group Pm-3m (No. 221)
Inequivalent atoms, fractional coordinates:
Li (0.0000, 0.0000, 0.0000) [1 per cell]  12 V 3.22
V (0.0000, 0.5000, 0.5000) [3 per cell]  2 Br 2.28
Br (0.5000, 0.5000, 0.5000) [1 per cell]  6 V 2.28